No. 1
First-principles (PBE) data for a geometry-optimized KNiI2Br6 structure, as listed in Alexandria.

* formation energy (no corrections): -4.38 eV per formula unit
* VASP energy: -2.4397 eV/atom

Cell and atoms, written as POSCAR:
```
KNiI2Br6
1.0
7.364 0.000 0.000
-1.621 7.874 0.000
-2.645 -2.010 7.457
K Ni I Br
1 1 2 6
Direct
0.000 0.000 0.000
0.371 0.896 0.623
0.128 0.569 0.933
0.559 0.074 0.204
0.076 0.741 0.654
0.138 0.423 0.200
0.168 0.038 0.445
0.500 0.161 0.887
0.556 0.719 0.764
0.636 0.965 0.513
```

---

No. 2
First-principles (PBE) data for a geometry-optimized K2NpI4Br2 structure, as listed in Alexandria.

* formation energy (no corrections): -11.09 eV per formula unit
* VASP energy: -3.9750 eV/atom

Cell and atoms, written as POSCAR:
```
K2NpI4Br2
1.0
6.922 -4.221 0.000
6.922 4.221 0.000
-4.670 0.000 6.856
K Np I Br
2 1 4 2
Direct
0.239 0.239 0.231
0.761 0.761 0.769
0.000 0.000 0.500
0.200 0.699 0.203
0.301 0.800 0.797
0.699 0.200 0.203
0.800 0.301 0.797
0.232 0.232 0.628
0.768 0.768 0.372
```

---

No. 3
First-principles (PBE) data for a geometry-optimized K8I3Br3O structure, as listed in Alexandria.

* formation energy (no corrections): -22.49 eV per formula unit
* VASP energy: -3.0599 eV/atom

Cell and atoms, written as POSCAR:
```
K8I3Br3O
1.0
4.767 2.752 8.082
-4.767 2.752 8.082
0.000 -5.504 8.082
K I Br O
8 3 3 1
Direct
0.244 0.244 0.244
0.294 0.697 0.697
0.303 0.303 0.706
0.303 0.706 0.303
0.697 0.294 0.697
0.697 0.697 0.294
0.706 0.303 0.303
0.756 0.756 0.756
0.000 0.500 0.500
0.500 0.000 0.500
0.500 0.500 0.000
0.000 0.000 0.500
0.000 0.500 0.000
0.500 0.000 0.000
0.500 0.500 0.500
```

---

No. 4
First-principles (PBE) data for a geometry-optimized K9I3BrO2 structure, as listed in Alexandria.

* formation energy (no corrections): -18.21 eV per formula unit
* VASP energy: -2.9550 eV/atom

Cell and atoms, written as POSCAR:
```
K9I3BrO2
1.0
7.947 0.000 0.000
-3.974 6.883 0.000
0.000 0.000 10.403
K I Br O
9 3 1 2
Direct
0.000 0.500 0.000
0.179 0.358 0.293
0.179 0.821 0.293
0.358 0.179 0.707
0.500 0.000 0.000
0.500 0.500 0.000
0.642 0.821 0.293
0.821 0.179 0.707
0.821 0.642 0.707
0.000 0.000 0.000
0.333 0.667 0.708
0.667 0.333 0.292
0.000 0.000 0.500
0.333 0.667 0.154
0.667 0.333 0.846
```

---

No. 5
First-principles (PBE) data for a geometry-optimized KIBrO2 structure, as listed in Alexandria.

* formation energy (no corrections): 0.70 eV per formula unit
* polymorph energy (0 for the lowest one): 0.0 meV per atom
* VASP energy: -2.7067 eV/atom

Cell and atoms, written as POSCAR:
```
KIBrO2
1.0
4.410 0.000 0.000
0.000 4.410 0.000
0.000 0.000 5.757
K I Br O
1 1 1 2
Direct
0.000 0.000 0.000
0.500 0.500 0.000
0.500 0.500 0.500
0.000 0.500 0.500
0.500 0.000 0.500
```

---

No. 6
First-principles (PBE) data for a geometry-optimized KIBrO2 structure, as listed in Alexandria.

* formation energy (no corrections): 2.74 eV per formula unit
* polymorph energy (0 for the lowest one): 406.9 meV per atom
* VASP energy: -2.2998 eV/atom

Cell and atoms, written as POSCAR:
```
KIBrO2
1.0
4.984 0.000 0.000
0.000 4.984 0.000
0.000 0.000 7.569
K I Br O
1 1 1 2
Direct
0.000 0.000 0.000
0.000 0.000 0.500
0.500 0.500 0.500
0.000 0.500 0.000
0.500 0.000 0.000
```

---

No. 7
First-principles (PBE) data for a geometry-optimized KIBr2O structure, as listed in Alexandria.

* formation energy (no corrections): -2.80 eV per formula unit
* polymorph energy (0 for the lowest one): 0.0 meV per atom
* VASP energy: -2.7493 eV/atom

Cell and atoms, written as POSCAR:
```
KIBr2O
1.0
13.121 0.000 0.000
0.000 4.401 0.000
-2.585 0.000 12.922
K I Br O
4 4 8 4
Direct
0.167 0.000 0.356
0.274 0.500 0.839
0.726 0.500 0.161
0.833 0.000 0.644
0.000 0.000 0.000
0.000 0.500 0.500
0.500 0.000 0.000
0.500 0.500 0.500
0.063 0.000 0.814
0.210 0.500 0.571
0.311 0.000 0.062
0.386 0.500 0.297
0.614 0.500 0.703
0.689 0.000 0.938
0.790 0.500 0.429
0.937 0.000 0.186
0.253 0.500 0.298
0.419 0.000 0.859
0.581 0.000 0.141
0.747 0.500 0.702
```

---

No. 8
First-principles (PBE) data for a geometry-optimized K12IBr4O3 structure, as listed in Alexandria.

* formation energy (no corrections): -24.64 eV per formula unit
* VASP energy: -3.0464 eV/atom

Cell and atoms, written as POSCAR:
```
K12IBr4O3
1.0
-5.654 5.654 5.654
5.654 -5.654 5.654
5.654 5.654 -5.654
K I Br O
12 1 4 3
Direct
0.000 0.285 0.285
0.000 0.715 0.715
0.250 0.500 0.750
0.250 0.750 0.500
0.285 0.000 0.285
0.285 0.285 0.000
0.500 0.250 0.750
0.500 0.750 0.250
0.715 0.000 0.715
0.715 0.715 0.000
0.750 0.250 0.500
0.750 0.500 0.250
0.000 0.000 0.000
0.000 0.000 0.500
0.000 0.500 0.000
0.500 0.000 0.000
0.500 0.500 0.500
0.000 0.500 0.500
0.500 0.000 0.500
0.500 0.500 0.000
```

---

> What is the formula in the fourth record?

K9I3BrO2

---

> What is the VASP energy in the eighth record?

-3.0464 eV/atom

---

> The lowest VASP energy belongs to which entry?

K2NpI4Br2